Record 1
## NiOsW2 (PBEsol)

Data for an optimized crystal structure of NiOsW2.

E_form = 60 meV per atom
E = -11.437 eV per atom

Cell: 2.765 4.345 4.673 Å, 90.00 90.00 90.00°
Positions (direct):
1 Ni 0.000 0.000 0.000
2 Os 0.000 0.500 0.652
3 W 0.500 0.000 0.493
4 W 0.500 0.500 0.137

=====

Record 2
## NiOsW2 (PBEsol)

Data for an optimized crystal structure of NiOsW2.

E_form = 83 meV per atom
E = -11.414 eV per atom

Cell: 2.717 2.717 7.583 Å, 90.00 90.00 90.00°
Positions (direct):
1 Ni 0.000 0.000 0.000
2 Os 0.000 0.000 0.500
3 W 0.500 0.500 0.242
4 W 0.500 0.500 0.758

=====

Record 3
## NiOsW2 (PBEsol)

Data for an optimized crystal structure of NiOsW2.

E_form = 121 meV per atom
E = -11.377 eV per atom

Cell: 4.632 4.632 4.668 Å, 100.14 100.14 35.04°
Positions (direct):
1 Ni 0.000 0.000 0.000
2 Os 0.255 0.255 0.730
3 W 0.504 0.504 0.502
4 W 0.744 0.744 0.206

=====

Record 4
## NiOsW2 (PBEsol)

Data for an optimized crystal structure of NiOsW2.

E_form = 127 meV per atom
E = -11.370 eV per atom

Cell: 3.147 3.147 5.680 Å, 90.00 90.00 90.00°
Positions (direct):
1 Ni 0.000 0.000 0.000
2 Os 0.500 0.500 0.248
3 W 0.000 0.000 0.505
4 W 0.500 0.500 0.791

=====

Record 5
## NiOs2W (PBEsol)

Data for an optimized crystal structure of NiOs2W.

E_form = 93 meV per atom
E = -11.006 eV per atom

Cell: 4.548 4.548 4.719 Å, 98.98 98.98 34.64°
Positions (direct):
1 Ni 0.000 0.000 0.000
2 Os 0.252 0.252 0.768
3 Os 0.748 0.748 0.232
4 W 0.500 0.500 0.500

=====

Record 6
## NiOs2W (PBEsol)

Data for an optimized crystal structure of NiOs2W.

E_form = 13 meV per atom
E = -11.086 eV per atom

Cell: 3.821 3.821 3.708 Å, 90.00 90.00 90.00°
Positions (direct):
1 Ni 0.000 0.000 0.000
2 Os 0.000 0.500 0.500
3 Os 0.500 0.000 0.500
4 W 0.500 0.500 0.000

=====

Record 7
## YNiOs2 (PBEsol)

Data for an optimized crystal structure of YNiOs2.

E_form = 374 meV per atom
E = -8.979 eV per atom

Cell: 5.078 5.078 5.078 Å, 135.80 135.80 64.29°
Positions (direct):
1 Y 0.000 0.000 0.000
2 Ni 0.500 0.500 0.000
3 Os 0.250 0.750 0.500
4 Os 0.750 0.250 0.500

=====

Record 8
## YNiOs2 (PBEsol)

Data for an optimized crystal structure of YNiOs2.

E_form = 623 meV per atom
E = -8.730 eV per atom

Cell: 4.441 4.441 4.441 Å, 60.00 60.00 60.00°
Positions (direct):
1 Y 0.000 0.000 0.000
2 Ni 0.500 0.500 0.500
3 Os 0.250 0.250 0.250
4 Os 0.750 0.750 0.750

=====

Record 9
## YNiOs2 (PBEsol)

Data for an optimized crystal structure of YNiOs2.

E_form = 551 meV per atom
E = -8.802 eV per atom

Cell: 9.386 9.386 9.386 Å, 16.88 16.88 16.88°
Positions (direct):
1 Y 0.000 0.000 0.000
2 Ni 0.500 0.500 0.500
3 Os 0.238 0.238 0.238
4 Os 0.762 0.762 0.762

=====

Record 10
## ZnNi2Os (PBEsol)

Data for an optimized crystal structure of ZnNi2Os.

E_form = 4 meV per atom
E = -6.524 eV per atom

Cell: 4.447 4.447 2.553 Å, 90.00 90.00 109.05°
Positions (direct):
1 Zn 0.000 0.000 0.000
2 Ni 0.000 0.500 0.500
3 Ni 0.500 0.000 0.500
4 Os 0.500 0.500 0.000

=====

Record 11
## ZnNiOs3 (PBEsol)

Data for an optimized crystal structure of ZnNiOs3.

E_form = 2490 meV per atom
E = -6.387 eV per atom

Cell: 4.380 4.380 4.380 Å, 90.00 90.00 90.00°
Positions (direct):
1 Zn 0.000 0.000 0.000
2 Ni 0.500 0.500 0.500
3 Os 0.000 0.000 0.500
4 Os 0.000 0.500 0.000
5 Os 0.500 0.000 0.000

=====

Record 12
## ZnNi2Os (PBEsol)

Data for an optimized crystal structure of ZnNi2Os.

E_form = 230 meV per atom
E = -6.298 eV per atom

Cell: 2.561 2.561 8.268 Å, 90.00 90.00 114.79°
Positions (direct):
1 Zn 0.000 0.000 0.000
2 Ni 0.000 0.000 0.526
3 Ni 0.500 0.500 0.761
4 Os 0.500 0.500 0.275

=====

Record 13
## ZnNi2Os (PBEsol)

Data for an optimized crystal structure of ZnNi2Os.

E_form = -44 meV per atom
E = -6.572 eV per atom

Cell: 2.590 2.590 7.106 Å, 90.00 90.00 90.00°
Positions (direct):
1 Zn 0.000 0.000 0.000
2 Ni 0.500 0.500 0.249
3 Ni 0.500 0.500 0.751
4 Os 0.000 0.000 0.500

=====

Record 14
## ZnNiOs3 (PBEsol)

Data for an optimized crystal structure of ZnNiOs3.

E_form = 2057 meV per atom
E = -6.821 eV per atom

Cell: 4.376 4.376 4.376 Å, 90.00 90.00 90.00°
Positions (direct):
1 Zn 0.000 0.000 0.000
2 Ni 0.500 0.500 0.500
3 Os 0.000 0.500 0.500
4 Os 0.500 0.000 0.500
5 Os 0.500 0.500 0.000

=====

Record 15
## ZrNiOs (PBEsol)

Data for an optimized crystal structure of ZrNiOs.

E_form = 41 meV per atom
E = -9.114 eV per atom

Cell: 6.128 6.128 6.128 Å, 153.83 153.83 37.35°
Positions (direct):
1 Zr 0.000 0.000 0.000
2 Ni 0.675 0.675 0.000
3 Os 0.311 0.311 0.000

=====

Record 16
## Zr2NiOs (PBEsol)

Data for an optimized crystal structure of Zr2NiOs.

E_form = -451 meV per atom
E = -9.589 eV per atom

Cell: 4.562 4.562 3.197 Å, 90.00 90.00 90.00°
Positions (direct):
1 Zr 0.000 0.500 0.000
2 Zr 0.500 0.000 0.000
3 Ni 0.000 0.000 0.500
4 Os 0.500 0.500 0.500

=====

Record 17
## ZrNiOs (PBEsol)

Data for an optimized crystal structure of ZrNiOs.

E_form = 680 meV per atom
E = -8.474 eV per atom

Cell: 4.229 4.229 4.229 Å, 60.00 60.00 60.00°
Positions (direct):
1 Zr 0.000 0.000 0.000
2 Ni 0.750 0.750 0.750
3 Os 0.250 0.250 0.250

=====

Record 18
## Ni3P (PBEsol)

Data for an optimized crystal structure of Ni3P.

E_form = -121 meV per atom
E = -6.187 eV per atom

Cell: 7.512 7.512 7.512 Å, 19.89 19.89 19.89°
Positions (direct):
1 Ni 0.000 0.000 0.000
2 Ni 0.243 0.243 0.243
3 Ni 0.757 0.757 0.757
4 P 0.500 0.500 0.500

=====

Record 19
## Ni3P (PBEsol)

Data for an optimized crystal structure of Ni3P.

E_form = -504 meV per atom
E = -6.570 eV per atom

Cell: 6.607 6.607 6.607 Å, 96.13 96.13 141.87°
Positions (direct):
1 Ni 0.068 0.379 0.465
2 Ni 0.092 0.194 0.833
3 Ni 0.215 0.664 0.889
4 Ni 0.336 0.225 0.552
5 Ni 0.361 0.259 0.167
6 Ni 0.397 0.932 0.311
7 Ni 0.621 0.086 0.689
8 Ni 0.674 0.785 0.448
9 Ni 0.741 0.908 0.102
10 Ni 0.775 0.326 0.111
11 Ni 0.806 0.639 0.898
12 Ni 0.914 0.603 0.535
13 P 0.222 0.485 0.166
14 P 0.318 0.056 0.834
15 P 0.515 0.682 0.737
16 P 0.944 0.778 0.263

=====

Record 20
## Ni2P3 (PBEsol)

Data for an optimized crystal structure of Ni2P3.

E_form = -183 meV per atom
E = -6.121 eV per atom

Cell: 7.913 7.913 7.913 Å, 22.01 22.01 22.01°
Positions (direct):
1 Ni 0.098 0.098 0.098
2 Ni 0.902 0.902 0.902
3 P 0.299 0.299 0.299
4 P 0.500 0.500 0.500
5 P 0.701 0.701 0.701

=====

Record 21
## Ni12P5 (PBEsol)

Data for an optimized crystal structure of Ni12P5.

E_form = -550 meV per atom
E = -6.600 eV per atom

Cell: 6.516 6.516 6.516 Å, 98.46 98.46 134.88°
Positions (direct):
1 Ni 0.061 0.635 0.697
2 Ni 0.068 0.366 0.935
3 Ni 0.132 0.068 0.702
4 Ni 0.365 0.061 0.426
5 Ni 0.366 0.430 0.298
6 Ni 0.430 0.132 0.065
7 Ni 0.570 0.868 0.935
8 Ni 0.634 0.570 0.702
9 Ni 0.635 0.939 0.574
10 Ni 0.868 0.932 0.298
11 Ni 0.932 0.634 0.065
12 Ni 0.939 0.365 0.303
13 P 0.000 0.000 0.000
14 P 0.194 0.413 0.607
15 P 0.413 0.806 0.219
16 P 0.587 0.194 0.781
17 P 0.806 0.587 0.393

=====

Record 22
## Ni8P3 (PBEsol)

Data for an optimized crystal structure of Ni8P3.

E_form = -534 meV per atom
E = -6.592 eV per atom

Cell: 13.043 13.043 13.043 Å, 28.84 28.84 28.84°
Positions (direct):
1 Ni 0.017 0.290 0.643
2 Ni 0.059 0.059 0.059
3 Ni 0.114 0.347 0.879
4 Ni 0.121 0.886 0.653
5 Ni 0.143 0.790 0.517
6 Ni 0.153 0.386 0.621
7 Ni 0.210 0.483 0.857
8 Ni 0.219 0.219 0.219
9 Ni 0.281 0.281 0.281
10 Ni 0.290 0.643 0.017
11 Ni 0.347 0.879 0.114
12 Ni 0.357 0.983 0.710
13 Ni 0.379 0.847 0.614
14 Ni 0.386 0.621 0.153
15 Ni 0.441 0.441 0.441
16 Ni 0.483 0.857 0.210
17 Ni 0.517 0.143 0.790
18 Ni 0.559 0.559 0.559
19 Ni 0.614 0.379 0.847
20 Ni 0.621 0.153 0.386
21 Ni 0.643 0.017 0.290
22 Ni 0.653 0.121 0.886
23 Ni 0.710 0.357 0.983
24 Ni 0.719 0.719 0.719
25 Ni 0.781 0.781 0.781
26 Ni 0.790 0.517 0.143
27 Ni 0.847 0.614 0.379
28 Ni 0.857 0.210 0.483
29 Ni 0.879 0.114 0.347
30 Ni 0.886 0.653 0.121
31 Ni 0.941 0.941 0.941
32 Ni 0.983 0.710 0.357
33 P 0.000 0.000 0.000
34 P 0.068 0.750 0.432
35 P 0.159 0.159 0.159
36 P 0.250 0.568 0.932
37 P 0.341 0.341 0.341
38 P 0.432 0.068 0.750
39 P 0.500 0.500 0.500
40 P 0.568 0.932 0.250
41 P 0.659 0.659 0.659
42 P 0.750 0.432 0.068
43 P 0.841 0.841 0.841
44 P 0.932 0.250 0.568

=====

Record 23
## NiP4 (PBEsol)

Data for an optimized crystal structure of NiP4.

E_form = -260 meV per atom
E = -6.125 eV per atom

Cell: 4.749 4.704 6.597 Å, 90.00 100.48 90.00°
Positions (direct):
1 Ni 0.000 0.000 0.000
2 Ni 0.000 0.500 0.500
3 P 0.213 0.189 0.750
4 P 0.213 0.311 0.250
5 P 0.372 0.659 0.075
6 P 0.372 0.841 0.575
7 P 0.628 0.159 0.425
8 P 0.628 0.341 0.925
9 P 0.787 0.689 0.750
10 P 0.787 0.811 0.250

=====

Record 24
## Ni5P4 (PBEsol)

Data for an optimized crystal structure of Ni5P4.

E_form = -555 meV per atom
E = -6.550 eV per atom

Cell: 6.708 6.708 10.827 Å, 90.00 90.00 120.00°
Positions (direct):
1 Ni 0.000 0.000 0.035
2 Ni 0.000 0.000 0.535
3 Ni 0.074 0.537 0.148
4 Ni 0.081 0.541 0.857
5 Ni 0.207 0.415 0.500
6 Ni 0.207 0.793 0.500
7 Ni 0.415 0.207 0.000
8 Ni 0.459 0.541 0.857
9 Ni 0.459 0.919 0.857
10 Ni 0.463 0.537 0.148
11 Ni 0.463 0.926 0.148
12 Ni 0.537 0.074 0.648
13 Ni 0.537 0.463 0.648
14 Ni 0.541 0.081 0.357
15 Ni 0.541 0.459 0.357
16 Ni 0.585 0.793 0.500
17 Ni 0.793 0.207 0.000
18 Ni 0.793 0.585 0.000
19 Ni 0.919 0.459 0.357
20 Ni 0.926 0.463 0.648
21 P 0.000 0.000 0.236
22 P 0.000 0.000 0.736
23 P 0.180 0.359 0.295
24 P 0.180 0.820 0.295
25 P 0.182 0.364 0.005
26 P 0.182 0.818 0.005
27 P 0.333 0.667 0.679
28 P 0.359 0.180 0.795
29 P 0.364 0.182 0.505
30 P 0.636 0.818 0.005
31 P 0.641 0.820 0.295
32 P 0.667 0.333 0.179
33 P 0.818 0.182 0.505
34 P 0.818 0.636 0.505
35 P 0.820 0.180 0.795
36 P 0.820 0.641 0.795